Run w
First-principles (GGA-PBE) data for crystalline BaRe2Cl at its relaxed geometry, as listed in Alexandria.

Cell lengths 4.9935, 4.9935, 16.3935 Å; angles 90.00, 90.00, 90.00 degrees
Space group I-42d (No. 122)
Inequivalent atoms, fractional coordinates:
1 Ba 0.0000 0.0000 0.0000 [4 per cell]
2 Re 0.0095 0.7500 0.6250 [8 per cell]
3 Cl 0.0000 0.0000 0.5000 [4 per cell]

Computed properties:
Size of the total moment ... 0.0 μB per formula unit



Run x
First-principles (GGA-PBE) data for crystalline BaRe2Cl at its relaxed geometry, as listed in Alexandria.

Cell lengths 5.4691, 13.6332, 3.2330 Å; angles 90.00, 126.03, 90.00 degrees
Space group C2/m (No. 12)
Inequivalent atoms, fractional coordinates:
1 Ba 0.0000 0.0000 0.0000 [2 per cell]
2 Re 0.2500 0.2500 0.5000 [4 per cell]
3 Cl 0.0000 0.5000 0.0000 [2 per cell]

Computed properties:
Size of the total moment ... 1.1 μB per formula unit



It is run x that is the most stable of them.



Run w
First-principles (GGA-PBE) data for crystalline Pt3Br at its relaxed geometry, as listed in Alexandria.

Cell lengths 6.9566, 6.9753, 2.8250 Å; angles 90.00, 90.00, 90.00 degrees
Space group Cmmm (No. 65)
Inequivalent atoms, fractional coordinates:
1 Pt 0.0000 0.0000 0.0000 [2 per cell]
2 Pt 0.2500 0.2500 0.5000 [4 per cell]
3 Br 0.0000 0.5000 0.0000 [2 per cell]

Computed properties:
Size of the total moment ... 0.0 μB per formula unit



Run x
First-principles (GGA-PBE) data for crystalline Pt3Br at its relaxed geometry, as listed in Alexandria.

Cell lengths 5.2188, 5.2188, 5.2188 Å; angles 90.00, 90.00, 90.00 degrees
Space group Pm-3n (No. 223)
Inequivalent atoms, fractional coordinates:
1 Pt 0.0000 0.2500 0.5000 [6 per cell]
2 Br 0.0000 0.0000 0.0000 [2 per cell]

Computed properties:
Size of the total moment ... 0.0 μB per formula unit



It is run w that is the most stable of them.



Run w
First-principles (GGA-PBE) data for crystalline AcSm2Pt at its relaxed geometry, as listed in Alexandria.

Cell lengths 5.0395, 12.6088, 7.8596 Å; angles 90.00, 90.00, 90.00 degrees
Space group Cmcm (No. 63)
Inequivalent atoms, fractional coordinates:
1 Ac 0.0000 0.0411 0.2500 [4 per cell]
2 Sm 0.0000 0.3469 0.0344 [8 per cell]
3 Pt 0.0000 0.1999 0.7500 [4 per cell]

Computed properties:
Size of the total moment ... 0.0 μB per formula unit



Run x
First-principles (GGA-PBE) data for crystalline AcSm2Pt at its relaxed geometry, as listed in Alexandria.

Cell lengths 7.4015, 10.1621, 6.7495 Å; angles 90.00, 90.00, 90.00 degrees
Space group Pnma (No. 62)
Inequivalent atoms, fractional coordinates:
1 Ac 0.0279 0.2500 0.1418 [4 per cell]
2 Sm 0.1762 0.0651 0.6701 [8 per cell]
3 Pt 0.1154 0.7500 0.4156 [4 per cell]

Computed properties:
Size of the total moment ... 0.0 μB per formula unit



It is run x that is the most stable of them.



Run w
First-principles (GGA-PBE) data for crystalline TaCd2Mo at its relaxed geometry, as listed in Alexandria.

Cell lengths 3.3895, 3.3895, 6.7680 Å; angles 90.00, 90.00, 90.00 degrees
Space group P4mm (No. 99)
Inequivalent atoms, fractional coordinates:
1 Ta 0.0000 0.0000 0.0000 [1 per cell]
2 Cd 0.0000 0.0000 0.5513 [1 per cell]
3 Cd 0.5000 0.5000 0.2874 [1 per cell]
4 Mo 0.5000 0.5000 0.8303 [1 per cell]

Computed properties:
Size of the total moment ... 0.0 μB per formula unit



Run x
First-principles (GGA-PBE) data for crystalline TaCd2Mo at its relaxed geometry, as listed in Alexandria.

Cell lengths 6.6519, 6.6519, 6.6519 Å; angles 90.00, 90.00, 90.00 degrees
Space group Fm-3m (No. 225)
Inequivalent atoms, fractional coordinates:
1 Ta 0.0000 0.0000 0.0000 [4 per cell]
2 Cd 0.2500 0.2500 0.2500 [8 per cell]
3 Mo 0.0000 0.0000 0.5000 [4 per cell]

Computed properties:
Size of the total moment ... 0.0 μB per formula unit



It is run w that is the most stable of them.



Run w
First-principles (GGA-PBE) data for crystalline Fe at its relaxed geometry, as listed in Alexandria.

Cell lengths 3.4767, 3.4767, 3.4767 Å; angles 90.00, 90.00, 90.00 degrees
Space group Fm-3m (No. 225)
Inequivalent atoms, fractional coordinates:
1 Fe 0.0000 0.0000 0.0000 [4 per cell]

Computed properties:
Size of the total moment ... 1.0 μB per formula unit



Run x
First-principles (GGA-PBE) data for crystalline Fe at its relaxed geometry, as listed in Alexandria.

Cell lengths 2.4623, 2.4623, 17.8549 Å; angles 90.00, 90.00, 120.00 degrees
Space group R-3m (No. 166, hexagonal axes)
Inequivalent atoms, fractional coordinates:
1 Fe 0.0000 0.0000 0.0000 [3 per cell]
2 Fe 0.0000 0.0000 0.2207 [6 per cell]

Computed properties:
Size of the total moment ... 0.1 μB per formula unit



It is run x that is the most stable of them.



Run w
First-principles (GGA-PBE) data for crystalline TlRh2Au2 at its relaxed geometry, as listed in Alexandria.

Cell lengths 3.8444, 3.8444, 13.1115 Å; angles 90.00, 90.00, 90.00 degrees
Space group I4/mmm (No. 139)
Inequivalent atoms, fractional coordinates:
1 Tl 0.0000 0.0000 0.0000 [2 per cell]
2 Rh 0.0000 0.0000 0.4038 [4 per cell]
3 Au 0.0000 0.5000 0.2500 [4 per cell]

Computed properties:
Size of the total moment ... 1.1 μB per formula unit



Run x
First-principles (GGA-PBE) data for crystalline TlRh2Au2 at its relaxed geometry, as listed in Alexandria.

Cell lengths 8.0970, 8.0970, 2.8644 Å; angles 90.00, 90.00, 90.00 degrees
Space group P4/mbm (No. 127)
Inequivalent atoms, fractional coordinates:
1 Tl 0.0000 0.0000 0.0000 [2 per cell]
2 Rh 0.1185 0.3815 0.5000 [4 per cell]
3 Au 0.1763 0.6763 0.0000 [4 per cell]

Computed properties:
Size of the total moment ... 0.3 μB per formula unit



It is run x that is the most stable of them.



Run w
First-principles (GGA-PBE) data for crystalline Fe2AgRu at its relaxed geometry, as listed in Alexandria.

Cell lengths 2.9268, 4.3488, 8.8688 Å; angles 90.00, 90.00, 90.00 degrees
Space group Cmm2 (No. 35)
Inequivalent atoms, fractional coordinates:
1 Fe 0.0000 0.0000 0.0000 [2 per cell]
2 Fe 0.0000 0.5000 0.2262 [2 per cell]
3 Ag 0.0000 0.0000 0.4884 [2 per cell]
4 Ru 0.0000 0.5000 0.7698 [2 per cell]

Computed properties:
Size of the total moment ... 0.6 μB per formula unit



Run x
First-principles (GGA-PBE) data for crystalline Fe2AgRu at its relaxed geometry, as listed in Alexandria.

Cell lengths 2.6295, 4.1036, 5.3498 Å; angles 90.00, 101.42, 90.00 degrees
Space group Pm (No. 6)
Inequivalent atoms, fractional coordinates:
1 Fe 0.0000 0.0000 0.0000 [1 per cell]
2 Fe 0.3949 0.5000 0.2338 [1 per cell]
3 Ag 0.4653 0.5000 0.7416 [1 per cell]
4 Ru 0.8644 0.0000 0.4459 [1 per cell]

Computed properties:
Size of the total moment ... 6.1 μB per formula unit



It is run x that is the most stable of them.